No. 1
Nd12FeBi6: optimized geometry, GGA-PBE.

It has space group R-3 (No. 148, hexagonal axes), with a = 13.5578 Å, b = 13.5578 Å, c = 12.7265 Å, α = 90.00°, β = 90.00° and γ = 120.00°. The distinct sites, in fractional coordinates, are Nd at (0.0305, 0.1916, 0.3889), Nd at (0.0667, 0.1878, 0.8812), Fe at (0.0000, 0.0000, 0.0000) and Bi at (0.0450, 0.4252, 0.3057).

As for the calculated volume: 35.5 A^3/atom. The magnetic moment is 0.00 μB/f.u. As for the formation energy from the elements: -0.4533 eV per atom.

No. 2
Nd8FeBi2: optimized geometry, GGA-PBE.

It has space group C2/m (No. 12), with a = 18.520 Å, b = 5.595 Å, c = 6.870 Å, α = 90.00°, β = 108.68° and γ = 90.00°. The distinct sites, in fractional coordinates, are Nd at (0.004, 0.000, 0.233), Nd at (0.087, 0.500, 0.757), Nd at (0.137, 0.500, 0.310), Nd at (0.216, 0.000, 0.134), Fe at (0.000, 0.500, 0.000) and Bi at (0.169, 0.000, 0.624).

As for the calculated volume: 30.7 A^3/atom. The magnetic moment is 0.03 μB/f.u. As for the formation energy from the elements: -0.2337 eV per atom.